# PtRhF GGA-PBE relaxed
# - Calculated total energy: -5.41 eV/atom
# - Energy relative to the lowest polymorph listed for this composition: 1.10 kcal/mol of atoms
# - Raw formation energy: -0.319 eV per atom
data_PtRhF
_chemical_formula_sum 'Pt2 Rh2 F2'
_symmetry_space_group_name_H-M 'P 1 m 1'
_symmetry_Int_Tables_number 6
_symmetry_space_group_name_Hall 'P -2y'
_cell_length_a 4.566
_cell_length_b 2.757
_cell_length_c 6.829
_cell_angle_alpha 90.00
_cell_angle_beta 103.32
_cell_angle_gamma 90.00
loop_
_atom_site_label
_atom_site_fract_x
_atom_site_fract_y
_atom_site_fract_z
Pt1 0.000 0.000 0.000
Pt2 0.481 0.500 0.917
Rh1 0.458 0.500 0.276
Rh2 0.948 0.000 0.377
F1 0.359 0.500 0.574
F2 0.880 0.000 0.660



# PtRhF2 GGA-PBE relaxed
# - Calculated total energy: -4.26 eV/atom
# - Energy relative to the lowest polymorph listed for this composition: 11.38 kcal/mol of atoms
# - Raw formation energy: 0.019 eV per atom
data_PtRhF2
_chemical_formula_sum 'Pt4 Rh4 F8'
_symmetry_space_group_name_H-M 'I -4 2 d'
_symmetry_Int_Tables_number 122
_symmetry_space_group_name_Hall 'I -4 2bw'
_cell_length_a 7.044
_cell_length_b 7.044
_cell_length_c 5.030
_cell_angle_alpha 90.00
_cell_angle_beta 90.00
_cell_angle_gamma 90.00
loop_
_atom_site_label
_atom_site_fract_x
_atom_site_fract_y
_atom_site_fract_z
Pt1 0.000 0.000 0.000
Rh1 0.000 0.000 0.500
F1 0.148 0.250 0.625



# PtRhF GGA-PBE relaxed
# - Calculated total energy: -5.43 eV/atom
# - Energy relative to the lowest polymorph listed for this composition: 0.52 kcal/mol of atoms
# - Raw formation energy: -0.344 eV per atom
data_PtRhF
_chemical_formula_sum 'Pt2 Rh2 F2'
_symmetry_space_group_name_H-M 'C m m 2'
_symmetry_Int_Tables_number 35
_symmetry_space_group_name_Hall 'C 2 -2'
_cell_length_a 2.716
_cell_length_b 4.855
_cell_length_c 6.233
_cell_angle_alpha 90.00
_cell_angle_beta 90.00
_cell_angle_gamma 90.00
loop_
_atom_site_label
_atom_site_fract_x
_atom_site_fract_y
_atom_site_fract_z
Pt1 0.000 0.000 0.000
Rh1 0.000 0.500 0.639
F1 0.000 0.000 0.354



# PtRhF2 GGA-PBE relaxed
# - Calculated total energy: -4.08 eV/atom
# - Energy relative to the lowest polymorph listed for this composition: 15.58 kcal/mol of atoms
# - Raw formation energy: 0.201 eV per atom
data_PtRhF2
_chemical_formula_sum 'Pt4 Rh4 F8'
_symmetry_space_group_name_H-M 'F m -3 m'
_symmetry_Int_Tables_number 225
_symmetry_space_group_name_Hall '-F 4 2 3'
_cell_length_a 5.951
_cell_length_b 5.951
_cell_length_c 5.951
_cell_angle_alpha 90.00
_cell_angle_beta 90.00
_cell_angle_gamma 90.00
loop_
_atom_site_label
_atom_site_fract_x
_atom_site_fract_y
_atom_site_fract_z
Pt1 0.000 0.000 0.000
Rh1 0.000 0.000 0.500
F1 0.250 0.250 0.250



# PtRhF2 GGA-PBE relaxed
# - Calculated total energy: -4.76 eV/atom
# - Energy relative to the lowest polymorph listed for this composition: 0.00 kcal/mol of atoms
# - Raw formation energy: -0.474 eV per atom
data_PtRhF2
_chemical_formula_sum 'Pt3 Rh3 F6'
_symmetry_space_group_name_H-M 'R -3 m'
_symmetry_Int_Tables_number 166
_symmetry_space_group_name_Hall '-R 3 2"'
_cell_length_a 2.7555
_cell_length_b 2.7555
_cell_length_c 23.9300
_cell_angle_alpha 90.00
_cell_angle_beta 90.00
_cell_angle_gamma 120.00
loop_
_atom_site_label
_atom_site_fract_x
_atom_site_fract_y
_atom_site_fract_z
Pt1 0.0000 0.0000 0.0000
Rh1 0.0000 0.0000 0.5000
F1 0.0000 0.0000 0.0844



# Pt2RhF GGA-PBE relaxed
# - Calculated total energy: -5.17 eV/atom
# - Energy relative to the lowest polymorph listed for this composition: 0.00 kcal/mol of atoms
# - Raw formation energy: 0.156 eV per atom
data_Pt2RhF
_chemical_formula_sum 'Pt8 Rh4 F4'
_symmetry_space_group_name_H-M 'F m -3 m'
_symmetry_Int_Tables_number 225
_symmetry_space_group_name_Hall '-F 4 2 3'
_cell_length_a 6.121
_cell_length_b 6.121
_cell_length_c 6.121
_cell_angle_alpha 90.00
_cell_angle_beta 90.00
_cell_angle_gamma 90.00
loop_
_atom_site_label
_atom_site_fract_x
_atom_site_fract_y
_atom_site_fract_z
Pt1 0.250 0.250 0.250
Rh1 0.000 0.000 0.000
F1 0.000 0.000 0.500